# HgPSe, optimized geometry, DFT PBE-GGA
# Calculated density: 5.9 g cm⁻³
# Formation energy (no corrections): 183 meV/atom
# DOS at the Fermi energy: 1.57 states/eV per cell
data_HgPSe
_symmetry_space_group_name_H-M 'I 4 m m'
_symmetry_Int_Tables_number 107
_symmetry_space_group_name_Hall 'I 4 -2'
_cell_length_a 3.8283
_cell_length_b 3.8283
_cell_length_c 11.8504
_cell_angle_alpha 90.00
_cell_angle_beta 90.00
_cell_angle_gamma 90.00
loop_
_atom_site_label
_atom_site_fract_x
_atom_site_fract_y
_atom_site_fract_z
Hg1 0.0000 0.0000 0.0000
P1 0.0000 0.0000 0.4677
Se1 0.0000 0.0000 0.2863